[1]
# SCAN La3MoO, single point on PBEsol structure
data_La3MoO
_cell_length_a 4.8904
_cell_length_b 4.8904
_cell_length_c 4.8904
_cell_angle_alpha 90.00
_cell_angle_beta 90.00
_cell_angle_gamma 90.00
_symmetry_space_group_name_H-M 'P 1'
_symmetry_Int_Tables_number 1
_symmetry_space_group_name_Hall 'P 1'
loop_
_atom_site_label
_atom_site_type_symbol
_atom_site_fract_x
_atom_site_fract_y
_atom_site_fract_z
Mo1 Mo 0.5000 0.5000 0.5000
O1 O 0.0000 0.0000 0.0000
La1 La 0.0000 0.5000 0.0000
La2 La 0.0000 0.0000 0.5000
La3 La 0.5000 0.0000 0.0000
# Formation energy without anion corrections (meV/atom): -889
# Space group: Pm-3m, No. 221

[2]
# SCAN Ba2NbF, single point on PBEsol structure
data_Ba2NbF
_cell_length_a 5.5942
_cell_length_b 5.5942
_cell_length_c 5.5942
_cell_angle_alpha 60.00
_cell_angle_beta 60.00
_cell_angle_gamma 60.00
_symmetry_space_group_name_H-M 'P 1'
_symmetry_Int_Tables_number 1
_symmetry_space_group_name_Hall 'P 1'
loop_
_atom_site_label
_atom_site_type_symbol
_atom_site_fract_x
_atom_site_fract_y
_atom_site_fract_z
Nb1 Nb 0.5000 0.5000 0.5000
Ba1 Ba 0.2500 0.2500 0.2500
Ba2 Ba 0.7500 0.7500 0.7500
F1 F 0.0000 0.0000 0.0000
# Formation energy without anion corrections (meV/atom): -162
# Space group: Fm-3m, No. 225

[3]
# SCAN CdAgSb, single point on PBEsol structure
data_CdAgSb
_cell_length_a 3.9256
_cell_length_b 4.4771
_cell_length_c 4.4771
_cell_angle_alpha 120.00
_cell_angle_beta 90.00
_cell_angle_gamma 90.00
_symmetry_space_group_name_H-M 'P 1'
_symmetry_Int_Tables_number 1
_symmetry_space_group_name_Hall 'P 1'
loop_
_atom_site_label
_atom_site_type_symbol
_atom_site_fract_x
_atom_site_fract_y
_atom_site_fract_z
Sb1 Sb 0.2857 0.6667 0.3333
Ag1 Ag 0.0008 0.0000 0.0000
Cd1 Cd 0.7134 0.3333 0.6667
# Formation energy without anion corrections (meV/atom): 139
# Space group: P3m1, No. 156

[4]
# SCAN SrYBr2, single point on PBEsol structure
data_SrYBr2
_cell_length_a 3.6005
_cell_length_b 3.6005
_cell_length_c 8.6454
_cell_angle_alpha 90.00
_cell_angle_beta 90.00
_cell_angle_gamma 90.00
_symmetry_space_group_name_H-M 'P 1'
_symmetry_Int_Tables_number 1
_symmetry_space_group_name_Hall 'P 1'
loop_
_atom_site_label
_atom_site_type_symbol
_atom_site_fract_x
_atom_site_fract_y
_atom_site_fract_z
Y1 Y 0.5000 0.5000 0.5000
Sr1 Sr 0.5000 0.5000 0.0000
Br1 Br 0.0000 0.0000 0.6890
Br2 Br 0.0000 0.0000 0.3110
# Formation energy without anion corrections (meV/atom): -1053
# Energy above the lowest structure with this stoichiometry (meV/atom): 0
# Space group: P4/mmm, No. 123

[5]
# SCAN Cd2SiSbH, single point on PBEsol structure
data_Cd2SiSbH
_cell_length_a 3.3405
_cell_length_b 5.3213
_cell_length_c 5.3213
_cell_angle_alpha 90.00
_cell_angle_beta 90.00
_cell_angle_gamma 90.00
_symmetry_space_group_name_H-M 'P 1'
_symmetry_Int_Tables_number 1
_symmetry_space_group_name_Hall 'P 1'
loop_
_atom_site_label
_atom_site_type_symbol
_atom_site_fract_x
_atom_site_fract_y
_atom_site_fract_z
Sb1 Sb 0.5000 0.5000 0.5000
Si1 Si 0.0000 0.0000 0.0000
H1 H 0.5000 0.0000 0.0000
Cd1 Cd 0.0000 0.0000 0.5000
Cd2 Cd 0.0000 0.5000 0.0000
# E (eV per atom): -21.996
# Space group: P4/mmm, No. 123

[6]
# SCAN LiScSb2, single point on PBEsol structure
data_LiScSb2
_cell_length_a 3.9269
_cell_length_b 4.3732
_cell_length_c 5.6990
_cell_angle_alpha 106.45
_cell_angle_beta 110.15
_cell_angle_gamma 90.00
_symmetry_space_group_name_H-M 'P 1'
_symmetry_Int_Tables_number 1
_symmetry_space_group_name_Hall 'P 1'
loop_
_atom_site_label
_atom_site_type_symbol
_atom_site_fract_x
_atom_site_fract_y
_atom_site_fract_z
Sc1 Sc 0.4877 0.4272 0.9755
Sb1 Sb 0.0028 0.9311 0.0056
Sb2 Sb 0.7579 0.3380 0.5159
Li1 Li 0.2515 0.8036 0.5030
# Formation energy without anion corrections (meV/atom): -641
# Energy above the lowest structure with this stoichiometry (meV/atom): 0
# Space group: Cm, No. 8

[7]
# SCAN NaPdSe3, single point on PBEsol structure
data_NaPdSe3
_cell_length_a 4.9007
_cell_length_b 4.9007
_cell_length_c 4.9007
_cell_angle_alpha 90.00
_cell_angle_beta 90.00
_cell_angle_gamma 90.00
_symmetry_space_group_name_H-M 'P 1'
_symmetry_Int_Tables_number 1
_symmetry_space_group_name_Hall 'P 1'
loop_
_atom_site_label
_atom_site_type_symbol
_atom_site_fract_x
_atom_site_fract_y
_atom_site_fract_z
Na1 Na 0.0000 0.0000 0.0000
Se1 Se 0.0000 0.5000 0.0000
Se2 Se 0.0000 0.0000 0.5000
Se3 Se 0.5000 0.0000 0.0000
Pd1 Pd 0.5000 0.5000 0.5000
# Formation energy without anion corrections (meV/atom): 957
# Space group: Pm-3m, No. 221

[8]
# SCAN Na2Mg, single point on PBEsol structure
data_Na2Mg
_cell_length_a 3.4225
_cell_length_b 3.4225
_cell_length_c 8.1411
_cell_angle_alpha 102.13
_cell_angle_beta 102.13
_cell_angle_gamma 90.00
_symmetry_space_group_name_H-M 'P 1'
_symmetry_Int_Tables_number 1
_symmetry_space_group_name_Hall 'P 1'
loop_
_atom_site_label
_atom_site_type_symbol
_atom_site_fract_x
_atom_site_fract_y
_atom_site_fract_z
Na1 Na 0.6566 0.6566 0.3132
Na2 Na 0.3434 0.3434 0.6868
Mg1 Mg 0.0000 0.0000 0.0000
# Energy of formation (eV per atom): 0.099
# Space group: I4/mmm, No. 139

[9]
# SCAN LiZn3, single point on PBEsol structure
data_LiZn3
_cell_length_a 2.6746
_cell_length_b 3.8737
_cell_length_c 5.3282
_cell_angle_alpha 90.00
_cell_angle_beta 90.00
_cell_angle_gamma 90.00
_symmetry_space_group_name_H-M 'P 1'
_symmetry_Int_Tables_number 1
_symmetry_space_group_name_Hall 'P 1'
loop_
_atom_site_label
_atom_site_type_symbol
_atom_site_fract_x
_atom_site_fract_y
_atom_site_fract_z
Zn1 Zn 0.5000 0.5000 0.7529
Zn2 Zn 0.0000 0.0000 0.5000
Zn3 Zn 0.5000 0.5000 0.2471
Li1 Li 0.0000 0.0000 0.0000
# Energy of formation (eV per atom): -0.136
# Space group: Pmmm, No. 47

[10]
# SCAN MnNiAu3, single point on PBEsol structure
data_MnNiAu3
_cell_length_a 4.7271
_cell_length_b 4.7271
_cell_length_c 4.7271
_cell_angle_alpha 90.00
_cell_angle_beta 90.00
_cell_angle_gamma 90.00
_symmetry_space_group_name_H-M 'P 1'
_symmetry_Int_Tables_number 1
_symmetry_space_group_name_Hall 'P 1'
loop_
_atom_site_label
_atom_site_type_symbol
_atom_site_fract_x
_atom_site_fract_y
_atom_site_fract_z
Ni1 Ni 0.5000 0.5000 0.5000
Mn1 Mn 0.0000 0.0000 0.0000
Au1 Au 0.0000 0.5000 0.0000
Au2 Au 0.0000 0.0000 0.5000
Au3 Au 0.5000 0.0000 0.0000
# Energy of formation (eV per atom): 0.997
# Space group: Pm-3m, No. 221

[11]
# SCAN Al2ZnIn, single point on PBEsol structure
data_Al2ZnIn
_cell_length_a 4.1833
_cell_length_b 4.1833
_cell_length_c 5.0816
_cell_angle_alpha 114.31
_cell_angle_beta 114.31
_cell_angle_gamma 90.00
_symmetry_space_group_name_H-M 'P 1'
_symmetry_Int_Tables_number 1
_symmetry_space_group_name_Hall 'P 1'
loop_
_atom_site_label
_atom_site_type_symbol
_atom_site_fract_x
_atom_site_fract_y
_atom_site_fract_z
Zn1 Zn 0.0000 0.0000 0.0000
Al1 Al 0.7500 0.2500 0.5000
Al2 Al 0.2500 0.7500 0.5000
In1 In 0.5000 0.5000 0.0000
# Energy of formation (eV per atom): 0.136
# Space group: I4/mmm, No. 139

[12]
# SCAN CsKTeH6SO10, single point on PBEsol structure
data_CsKTeH6SO10
_cell_length_a 6.6197
_cell_length_b 12.5214
_cell_length_c 12.5760
_cell_angle_alpha 107.04
_cell_angle_beta 90.00
_cell_angle_gamma 90.00
_symmetry_space_group_name_H-M 'P 1'
_symmetry_Int_Tables_number 1
_symmetry_space_group_name_Hall 'P 1'
loop_
_atom_site_label
_atom_site_type_symbol
_atom_site_fract_x
_atom_site_fract_y
_atom_site_fract_z
Cs1 Cs 0.9729 0.2693 0.2715
Cs2 Cs 0.4729 0.4967 0.4976
Cs3 Cs 0.5271 0.9967 0.9975
Cs4 Cs 0.0271 0.7693 0.7715
K1 K 0.9529 0.0120 0.4815
K2 K 0.0471 0.5120 0.9815
K3 K 0.4534 0.7534 0.2872
K4 K 0.5466 0.2534 0.7872
Te1 Te 0.4975 0.4034 0.1185
Te2 Te 0.0025 0.8623 0.1504
Te3 Te 0.9975 0.3623 0.6504
Te4 Te 0.5025 0.9034 0.6185
H1 H 0.4907 0.2496 0.2058
H2 H 0.4499 0.0705 0.5473
H3 H 0.0093 0.0162 0.0634
H4 H 0.2592 0.7641 0.0109
H5 H 0.8201 0.3188 0.0231
H6 H 0.7408 0.2641 0.5109
H7 H 0.7257 0.4643 0.7735
H8 H 0.2249 0.2440 0.5014
H9 H 0.1799 0.8188 0.5231
H10 H 0.3199 0.4470 0.7459
H11 H 0.5093 0.7496 0.7058
H12 H 0.0498 0.1950 0.7214
H13 H 0.9502 0.6950 0.2214
H14 H 0.7248 0.5218 0.2676
H15 H 0.2752 0.0218 0.7676
H16 H 0.7751 0.7440 0.0014
H17 H 0.7739 0.8013 0.4953
H18 H 0.6801 0.9470 0.2459
H19 H 0.2261 0.3013 0.9953
H20 H 0.5501 0.5705 0.0473
H21 H 0.7593 0.0017 0.7578
H22 H 0.2743 0.9643 0.2735
H23 H 0.9907 0.5163 0.5634
H24 H 0.2407 0.5017 0.2578
S1 S 0.0007 0.1284 0.9048
S2 S 0.9993 0.6284 0.4048
S3 S 0.4991 0.1373 0.3640
S4 S 0.5009 0.6373 0.8640
O1 O 0.9850 0.7321 0.5011
O2 O 0.9454 0.5296 0.4407
O3 O 0.0546 0.0296 0.9407
O4 O 0.6581 0.8490 0.4827
O5 O 0.0150 0.2321 0.0011
O6 O 0.7643 0.8789 0.2429
O7 O 0.0194 0.5141 0.6419
O8 O 0.6471 0.4499 0.2570
O9 O 0.3419 0.3490 0.9827
O10 O 0.5550 0.7362 0.8282
O11 O 0.2357 0.3789 0.7429
O12 O 0.1587 0.9164 0.2861
O13 O 0.7083 0.1484 0.4087
O14 O 0.4851 0.0336 0.2676
O15 O 0.9792 0.2093 0.6558
O16 O 0.4450 0.2362 0.3282
O17 O 0.2453 0.4258 0.2002
O18 O 0.5196 0.2517 0.1272
O19 O 0.6459 0.6276 0.9524
O20 O 0.8544 0.6380 0.3163
O21 O 0.1479 0.3161 0.5122
O22 O 0.7457 0.3401 0.5684
O23 O 0.8522 0.8161 0.0122
O24 O 0.0208 0.7093 0.1558
O25 O 0.2085 0.6174 0.3602
O26 O 0.7547 0.9258 0.7002
O27 O 0.2543 0.8401 0.0684
O28 O 0.8413 0.4164 0.7861
O29 O 0.4792 0.5563 0.1129
O30 O 0.2638 0.8870 0.5264
O31 O 0.2917 0.6484 0.9087
O32 O 0.3529 0.9499 0.7570
O33 O 0.5149 0.5336 0.7676
O34 O 0.9806 0.0141 0.1419
O35 O 0.3541 0.1276 0.4524
O36 O 0.5208 0.0563 0.6129
O37 O 0.1456 0.1380 0.8163
O38 O 0.7362 0.3870 0.0264
O39 O 0.7915 0.1174 0.8602
O40 O 0.4804 0.7517 0.6272
# E (eV per atom): -10.236
# Space group: P2_1/c, No. 14